(1)
The following is a GGA-PBE calculation of a relaxed Y6Ge2BiTe3 crystal, from Alexandria via LeMat-Bulk.

Cell lengths 4.3090, 8.7318, 9.7009 Å; angles 103.17, 102.83, 90.00 degrees
Element x y z (fractional)
Te (0.5000, 0.5000, 0.0000)
Te (0.8374, 0.1659, 0.6749)
Y (0.3304, 0.8881, 0.6607)
Te (0.1626, 0.8341, 0.3251)
Y (0.6696, 0.1119, 0.3393)
Y (0.3259, 0.4323, 0.6517)
Y (0.6741, 0.5677, 0.3483)
Ge (0.8317, 0.6637, 0.6634)
Bi (0.5000, 0.0000, 0.0000)
Y (0.9879, 0.7444, 0.9758)
Y (0.0121, 0.2556, 0.0242)
Ge (0.1683, 0.3363, 0.3366)

Calculated values
SG: C2/m
final energy: -6.311 eV/atom
density: 6.10 g/cm3
total magnetic moment: 0.0 Bohr magnetons per cell

---

(2)
The following is a GGA-PBE calculation of a relaxed ZnGeBiTe2 crystal, from Alexandria via LeMat-Bulk.

Cell lengths 5.9865, 5.2156, 5.9865 Å; angles 90.00, 90.00, 90.00 degrees
Element x y z (fractional)
Te (0.0000, 0.0000, 0.5000)
Zn (0.0000, 0.5000, 0.0000)
Ge (0.5000, 0.5000, 0.5000)
Te (0.5000, 0.0000, 0.0000)
Bi (0.0000, 0.0000, 0.0000)

Calculated values
SG: P4/mmm
final energy: -2.541 eV/atom
density: 5.35 g/cm3
total magnetic moment: 0.0 Bohr magnetons per cell

---

(3)
The following is a GGA-PBE calculation of a relaxed ZnGeBi2Te crystal, from Alexandria via LeMat-Bulk.

Cell lengths 5.3634, 5.3054, 5.3634 Å; angles 90.00, 90.00, 90.00 degrees
Element x y z (fractional)
Bi (0.0000, 0.0000, 0.5000)
Bi (0.5000, 0.0000, 0.0000)
Zn (0.0000, 0.0000, 0.0000)
Te (0.0000, 0.5000, 0.0000)
Ge (0.5000, 0.5000, 0.5000)

Calculated values
SG: P4/mmm
final energy: -2.777 eV/atom
density: 7.44 g/cm3
total magnetic moment: 0.0 Bohr magnetons per cell

---

- Look up the total magnetic moment of the second one.
  0.0 Bohr magnetons per cell

---

- Which value of total magnetic moment does entry 3 give?
  0.0 Bohr magnetons per cell

---

- Number 3 is which compound?
  ZnGeBi2Te

---

- Look up the final energy of the third one.
  -2.777 eV/atom